# 1
La2TaPb: optimized geometry, PBE-GGA.

Computed properties:
Energy = -5.999 eV/atom

Lattice parameters (Å, degrees): 10.6672 10.6672 10.6672 18.81 18.81 18.81
Closest atoms and distances in Å follow each position.
Fractional positions:
La  0.0000  0.0000  0.0000  3 Ta 3.19, 9 La 3.49-3.53
La  0.2412  0.2412  0.2412  3 Pb 3.46, 9 La 3.49-3.53
Ta  0.7455  0.7455  0.7455  3 Pb 3.05, 3 La 3.19
Pb  0.4851  0.4851  0.4851  3 Ta 3.05

***

# 2
La2TaPb: optimized geometry, PBE-GGA.

Computed properties:
Energy = -6.106 eV/atom

Lattice parameters (Å, degrees): 5.8594 5.8594 5.8594 132.59 127.71 73.23
Closest atoms and distances in Å follow each position.
Fractional positions:
La  0.2342  0.2342  0.0000  4 Ta 3.23-3.59, 4 Pb 3.39-3.43, 4 La 3.51
La  0.7658  0.7658  0.0000  4 Ta 3.23-3.59, 4 Pb 3.39-3.43, 4 La 3.51
Ta  0.0000  0.5000  0.5000  8 La 3.23-3.59, 4 Pb 3.49
Pb  0.5000  0.0000  0.5000  8 La 3.39-3.43, 4 Ta 3.49

***

# 3
LaTaPb2: optimized geometry, PBE-GGA.

Computed properties:
Energy = -5.871 eV/atom

Lattice parameters (Å, degrees): 3.3134 3.3134 10.1058 90.00 90.00 109.19
Closest atoms and distances in Å follow each position.
Fractional positions:
La  0.0000  0.0000  0.0000  4 La 3.31, 4 Pb 3.40
Ta  0.0000  0.0000  0.5000  4 Pb 2.95
Pb  0.5000  0.5000  0.2779  2 Ta 2.95
Pb  0.5000  0.5000  0.7221  2 Ta 2.95

***

| no. | ΔH_f (0 K) (eV per atom) |
| --- | --- |
| 1 | 0.35 |
| 2 | 0.25 |
| 3 | 0.18 |